VASP calculation (PBE-GGA) on a geometry-optimized CsHgAsAu2 structure.

Calculated values
crystal system	tetragonal
SG	P4/mmm, No. 123
formation energy from the elements	-55	kJ/mol of formula units

The structure in extended XYZ format:
```
5
Lattice="5.1873 0.0000 0.0000 0.0000 5.1873 0.0000 0.0000 0.0000 5.6738" Properties=species:S:1:pos:R:3 pbc="T T T"
Cs 0.0000 0.0000 0.0000
Hg 2.5936 2.5936 0.0000
As 2.5936 2.5936 2.8369
Au 0.0000 2.5936 2.8369
Au 2.5936 0.0000 2.8369
```



VASP calculation (PBE-GGA) on a geometry-optimized Cs2AsAuI6 structure.

Calculated values
crystal system	cubic
energy relative to the elements, uncorrected	-0.686	eV per atom
SG	Fm-3m, No. 225

The structure in extended XYZ format:
```
10
Lattice="0.0000 5.8925 5.8925 5.8925 0.0000 5.8925 5.8925 5.8925 0.0000" Properties=species:S:1:pos:R:3 pbc="T T T"
Cs 2.9463 2.9463 2.9463
Cs 8.8388 8.8388 8.8388
As 0.0000 0.0000 0.0000
Au 5.8925 5.8925 5.8925
I 5.8925 5.8925 2.9196
I 5.8925 2.9196 5.8925
I 8.8654 5.8925 5.8925
I 2.9196 5.8925 5.8925
I 5.8925 8.8654 5.8925
I 5.8925 5.8925 8.8654
```



VASP calculation (PBE-GGA) on a geometry-optimized CsK2As2Au structure.

Calculated values
crystal system	tetragonal
SG	I4/mmm, No. 139
formation energy from the elements	-157	kJ/mol of formula units

The structure in extended XYZ format:
```
6
Lattice="-3.2284 3.2284 6.0932 3.2284 -3.2284 6.0932 3.2284 3.2284 -6.0932" Properties=species:S:1:pos:R:3 pbc="T T T"
Cs 0.0000 0.0000 0.0000
K 3.2284 0.0000 3.0466
K 0.0000 3.2284 3.0466
As 0.0000 0.0000 3.7017
As 0.0000 0.0000 8.4847
Au 0.0000 0.0000 6.0932
```



no.,N(E_F) (states/eV/atom)
1,0.28
2,0.29
3,0.79